1.
DFT (PBE) results for PtAu2Cl after structural relaxation.

Computed properties:
Relative energy among the computed polymorphs: 13.9 meV/atom
Crystal system: monoclinic
Mass density: 11.13 Mg/m³
VASP energy: -3.438 eV per atom
Uncorrected formation energy: 172.8 meV per atom
D(E_F): 4.545 states/eV/cell

a = 9.3078 Å, b = 3.0622 Å, c = 6.5998 Å
α = 90.00°, β = 97.88°, γ = 90.00°
Last column: nearest neighbours and their distance in Å.
Sites, in units of the cell vectors:
Pt 0.0000 0.0000 0.0000  2 Cl 2.46
Pt 0.5000 0.5000 0.0000  2 Cl 2.46
Au 0.0171 0.5000 0.6545  1 Cl 2.50, 2 Pt 2.77
Au 0.2618 0.0000 0.8376  3 Pt 2.79, 5 Au 2.81-3.06
Au 0.5171 0.0000 0.6545  1 Cl 2.50, 2 Pt 2.77
Au 0.7618 0.5000 0.8376  3 Pt 2.79, 5 Au 2.81-3.06
Cl 0.0647 0.5000 0.2906  2 Pt 2.46, 1 Au 2.50
Cl 0.5647 0.0000 0.2906  2 Pt 2.46, 1 Au 2.50

=====

2.
DFT (PBE) results for Pa2ZnSb after structural relaxation.

Computed properties:
Relative energy among the computed polymorphs: 0.0 meV/atom
Crystal system: tetragonal
Mass density: 11.49 Mg/m³
VASP energy: -6.241 eV per atom
Uncorrected formation energy: -144.1 meV per atom
D(E_F): 8.042 states/eV/cell

a = 4.5785 Å, b = 4.5785 Å, c = 4.4747 Å
α = 90.00°, β = 90.00°, γ = 90.00°
Last column: nearest neighbours and their distance in Å.
Sites, in units of the cell vectors:
Pa 0.0000 0.5000 0.0000  4 Sb 3.20, 4 Zn 3.20, 4 Pa 3.24
Pa 0.5000 0.0000 0.0000  4 Sb 3.20, 4 Zn 3.20, 4 Pa 3.24
Zn 0.0000 0.0000 0.5000  8 Pa 3.20, 4 Sb 3.24
Sb 0.5000 0.5000 0.5000  8 Pa 3.20, 4 Zn 3.24

=====

3.
DFT (PBE) results for CePrEuMg after structural relaxation.

Computed properties:
Formation energy: 0.1677 eV/atom
Crystal system: cubic
Mass density: 5.94 Mg/m³
VASP energy: -5.478 eV per atom
D(E_F): 34.476 states/eV/cell

a = 7.9950 Å, b = 7.9950 Å, c = 7.9950 Å
α = 90.00°, β = 90.00°, γ = 90.00°
Last column: nearest neighbours and their distance in Å.
Sites, in units of the cell vectors:
Ce 0.0000 0.0000 0.0000  4 Pr 3.46, 4 Eu 3.46
Ce 0.0000 0.5000 0.5000  4 Pr 3.46, 4 Eu 3.46
Ce 0.5000 0.0000 0.5000  4 Pr 3.46, 4 Eu 3.46
Ce 0.5000 0.5000 0.0000  4 Pr 3.46, 4 Eu 3.46
Pr 0.2500 0.2500 0.2500  4 Ce 3.46, 4 Mg 3.46
Pr 0.2500 0.7500 0.7500  4 Ce 3.46, 4 Mg 3.46
Pr 0.7500 0.2500 0.7500  4 Ce 3.46, 4 Mg 3.46
Pr 0.7500 0.7500 0.2500  4 Ce 3.46, 4 Mg 3.46
Eu 0.2500 0.2500 0.7500  4 Ce 3.46, 4 Mg 3.46
Eu 0.2500 0.7500 0.2500  4 Ce 3.46, 4 Mg 3.46
Eu 0.7500 0.2500 0.2500  4 Ce 3.46, 4 Mg 3.46
Eu 0.7500 0.7500 0.7500  4 Ce 3.46, 4 Mg 3.46
Mg 0.0000 0.0000 0.5000  4 Pr 3.46, 4 Eu 3.46
Mg 0.0000 0.5000 0.0000  4 Pr 3.46, 4 Eu 3.46
Mg 0.5000 0.0000 0.0000  4 Pr 3.46, 4 Eu 3.46
Mg 0.5000 0.5000 0.5000  4 Pr 3.46, 4 Eu 3.46